Entry 1:
A geometry-optimized PaTaInO6 structure, computed with PBE-GGA.

Values from the calculation:
* final energy: -8.474 eV/atom
* total magnetic moment: 0.00 μB per cell
* formation energy (no corrections): -2492 meV per atom
* density of states at the Fermi level: 0.64 states/eV/atom

abc: 7.801 7.801 7.801
angles: 121.79 117.46 90.69
Positions (direct):
Pa 0.000 0.000 0.000
Pa 0.500 0.000 0.500
Ta 0.500 0.000 0.000
Ta 0.500 0.500 0.500
In 0.045 0.295 0.750
In 0.955 0.705 0.250
O 0.157 0.907 0.250
O 0.201 0.323 0.268
O 0.201 0.933 0.878
O 0.445 0.067 0.768
O 0.445 0.677 0.378
O 0.451 0.701 0.750
O 0.549 0.299 0.250
O 0.555 0.323 0.622
O 0.555 0.933 0.232
O 0.799 0.067 0.122
O 0.799 0.677 0.732
O 0.843 0.093 0.750



Entry 2:
A geometry-optimized LiTb2YIn4 structure, computed with PBE-GGA.

Values from the calculation:
* final energy: -4.007 eV/atom
* total magnetic moment: 0.00 μB per cell
* energy relative to the elements: -0.43 eV/atom
* density of states at the Fermi level: 0.50 states/eV/atom

abc: 9.212 9.212 9.212
angles: 32.87 32.87 32.87
Positions (direct):
Li 0.000 0.000 0.000
Tb 0.254 0.254 0.254
Tb 0.746 0.746 0.746
Y 0.500 0.500 0.500
In 0.123 0.123 0.123
In 0.374 0.374 0.374
In 0.626 0.626 0.626
In 0.877 0.877 0.877



Entry 3:
A geometry-optimized SrMg11 structure, computed with PBE-GGA.

Values from the calculation:
* final energy: -1.631 eV/atom
* total magnetic moment: 0.00 μB per cell
* energy relative to the elements: -0.03 eV/atom
* density of states at the Fermi level: 0.36 states/eV/atom

abc: 9.630 9.630 9.630
angles: 99.95 99.95 130.87
Positions (direct):
Sr 0.375 0.625 0.750
Sr 0.625 0.375 0.250
Mg 0.000 0.000 0.000
Mg 0.000 0.000 0.500
Mg 0.000 0.500 0.000
Mg 0.125 0.875 0.250
Mg 0.136 0.557 0.332
Mg 0.136 0.804 0.579
Mg 0.196 0.275 0.332
Mg 0.196 0.864 0.921
Mg 0.275 0.196 0.832
Mg 0.275 0.443 0.079
Mg 0.443 0.275 0.579
Mg 0.443 0.864 0.168
Mg 0.500 0.000 0.500
Mg 0.557 0.136 0.832
Mg 0.557 0.725 0.421
Mg 0.725 0.557 0.921
Mg 0.725 0.804 0.168
Mg 0.804 0.136 0.079
Mg 0.804 0.725 0.668
Mg 0.864 0.196 0.421
Mg 0.864 0.443 0.668
Mg 0.875 0.125 0.750